Li3Cr2NiO6 (PBE with a Hubbard U, optimized geometry); energy above the lowest structure with this stoichiometry = 0.0 meV/atom
1.0
-0.2710 -3.5574 5.5668
1.0875 -5.3768 3.6912
5.1607 1.1991 2.5747
Li O Ni Cr
3 6 1 2
direct
0.3349 0.3349 0.3367
0.6651 0.6651 0.6633
0.0000 0.0000 0.0000
0.1729 0.1729 0.9350
0.8331 0.8331 0.5988
0.5085 0.5085 0.2578
0.4915 0.4915 0.7422
0.8271 0.8271 0.0650
0.1669 0.1669 0.4012
0.0000 0.0000 0.5000
0.3340 0.3340 0.8268
0.6660 0.6660 0.1732